Entry from Alexandria via LeMat-Bulk: a geometry-optimized InMo2BrF structure (PBE+U).

Uncorrected energy ... -18.99 eV for the cell shown
Crystal system ... tetragonal
Fermi-level density of states ... 0.467 states/eV per atom

a = 4.9962 Å, b = 4.9962 Å, c = 5.4677 Å
α = 90.00°, β = 90.00°, γ = 90.00°
Closest atoms and distances in Å follow each position.
Sites, in units of the cell vectors:
In: 0.0000 0.0000 0.0000  2 F 2.73
Mo: 0.0000 0.5000 0.5000  2 F 2.50
Mo: 0.5000 0.0000 0.5000  2 F 2.50
Br: 0.5000 0.5000 0.0000  4 In 3.53, 8 Mo 3.70
F: 0.0000 0.0000 0.5000  4 Mo 2.50, 2 In 2.73